Material: LiNdSn2
Method: DFT, PBEsol
State: relaxed

Formation energy from the elements, meV/atom: -608
DOS at the Fermi energy, states/eV per atom: 0.2503
E_tot, hartree per atom: -0.166
Calculated volume, A^3/atom: 23.406

Cell: 9.7213 9.7213 4.4683 Å, 90.00 90.00 153.68°
Atoms (fractional coordinates):
Li: 0.1746 0.8254 0.7500
Li: 0.8254 0.1746 0.2500
Nd: 0.3934 0.6066 0.7500
Nd: 0.6066 0.3934 0.2500
Sn: 0.0440 0.9560 0.7500
Sn: 0.2495 0.7505 0.2500
Sn: 0.7505 0.2495 0.7500
Sn: 0.9560 0.0440 0.2500

Material: LiP4Ir
Method: DFT, PBEsol
State: relaxed

Formation energy from the elements, meV/atom: 490
DOS at the Fermi energy, states/eV per atom: 0.4582
E_tot, hartree per atom: -0.196
Calculated volume, A^3/atom: 13.883

Cell: 4.9021 4.9021 4.9021 Å, 60.00 60.00 60.00°
Atoms (fractional coordinates):
Li: 0.0000 0.0000 0.0000
P: 0.3726 0.3726 0.3726
P: 0.3726 0.3726 0.8821
P: 0.3726 0.8821 0.3726
P: 0.8821 0.3726 0.3726
Ir: 0.7500 0.7500 0.7500

Material: BWN3
Method: DFT, PBEsol
State: relaxed

DOS at the Fermi energy, states/eV per atom: 0.6850
E_tot, hartree per atom: -0.289
Raw formation energy, eV per atom: 1.409
Calculated volume, A^3/atom: 12.154

Cell: 3.9315 3.9315 3.9315 Å, 90.00 90.00 90.00°
Atoms (fractional coordinates):
B: 0.0000 0.0000 0.0000
W: 0.5000 0.5000 0.5000
N: 0.0000 0.5000 0.5000
N: 0.5000 0.0000 0.5000
N: 0.5000 0.5000 0.0000

Material: La2CuIr
Method: DFT, PBEsol
State: relaxed

Formation energy from the elements, meV/atom: -371
DOS at the Fermi energy, states/eV per atom: 0.7929
E_tot, hartree per atom: -0.242
Calculated volume, A^3/atom: 22.436

Cell: 5.0255 5.0255 5.0255 Å, 60.00 60.00 60.00°
Atoms (fractional coordinates):
La: 0.2500 0.2500 0.2500
La: 0.7500 0.7500 0.7500
Cu: 0.0000 0.0000 0.0000
Ir: 0.5000 0.5000 0.5000

Q: Which value of calculated volume does entry 4 give?
A: 22.436 A^3/atom

Q: DOS at the Fermi energy of number 1 (LiNdSn2)?
A: 0.2503 states/eV per atom